# 1
A geometry-optimized Nd5Er6In structure. Source: the Alexandria database, functional PBE-GGA.

Results
For the magnetic moment, the calculation gives 0.0 μB/cell. The total energy comes out at -4.543 eV/atom. The crystal system is orthorhombic. Its density of states at the Fermi level is 1.3271 states/eV per atom.

```
data_Nd5Er6In
_chemical_formula_sum 'Nd10 Er12 In2'
_space_group_name_H-M_alt 'I m m m'
_space_group_IT_number 71
_space_group_name_Hall '-I 2 2'
_cell_length_a 5.012
_cell_length_b 10.045
_cell_length_c 15.042
_cell_angle_alpha 90.00
_cell_angle_beta 90.00
_cell_angle_gamma 90.00
loop_
_atom_site_label
_atom_site_fract_x
_atom_site_fract_y
_atom_site_fract_z
Nd1 0.000 0.000 0.000
Nd2 0.000 0.000 0.333
Nd3 0.000 0.500 0.337
Er1 0.000 0.244 0.500
Er2 0.000 0.255 0.164
In1 0.000 0.500 0.000
```



# 2
A geometry-optimized Nd12Er3In structure. Source: the Alexandria database, functional PBE-GGA.

Results
For the magnetic moment, the calculation gives 0.0 μB/cell. The total energy comes out at -4.653 eV/atom. The crystal system is tetragonal. Its density of states at the Fermi level is 1.3459 states/eV per atom.

```
data_Nd12Er3In
_chemical_formula_sum 'Nd12 Er3 In1'
_space_group_name_H-M_alt 'P 4/m m m'
_space_group_IT_number 123
_space_group_name_Hall '-P 4 2'
_cell_length_a 5.087
_cell_length_b 5.087
_cell_length_c 20.596
_cell_angle_alpha 90.00
_cell_angle_beta 90.00
_cell_angle_gamma 90.00
loop_
_atom_site_label
_atom_site_fract_x
_atom_site_fract_y
_atom_site_fract_z
Nd1 0.000 0.000 0.000
Nd2 0.000 0.000 0.247
Nd3 0.000 0.000 0.500
Nd4 0.000 0.500 0.121
Nd5 0.000 0.500 0.374
Er1 0.500 0.500 0.249
Er2 0.500 0.500 0.500
In1 0.500 0.500 0.000
```